(1)
BeTl4Cl PBE-GGA relaxed; ΔE_f (raw) = 0.394 eV/atom
1.0
2.853 -2.604 5.136
0.271 3.268 5.526
-3.532 -1.888 5.025
Tl Cl Be
4 1 1
Direct
0.375 0.375 0.375
0.375 0.375 0.875
0.875 0.375 0.375
0.375 0.875 0.375
0.000 0.000 0.000
0.750 0.750 0.750

***

(2)
PmPuCd PBE-GGA relaxed; ΔH_f (0 K) = 0.117 eV/atom; polymorph energy (0 for the lowest one) = 0.120 eV per atom
1.0
-1.506 2.220 -1.869
-1.827 -2.602 -1.618
-18.889 2.186 17.816
Pu Cd Pm
4 4 4
Direct
0.848 0.750 0.480
0.348 0.250 0.020
0.152 0.250 0.520
0.652 0.750 0.980
0.291 0.750 0.212
0.791 0.250 0.288
0.709 0.250 0.788
0.209 0.750 0.712
0.289 0.750 0.376
0.211 0.750 0.876
0.711 0.250 0.624
0.789 0.250 0.124

***

| no. | total magnetization (μB per formula unit) |
| --- | --- |
| 1 | 0.00 |
| 2 | 0.00 |